(1)
Tl2CrTc | PBE-GGA | optimized geometry

As for the density of states at the Fermi level: 1.740 states/eV/atom. The calculation puts the energy above the most stable polymorph in this dataset at 891.5 meV per atom. As for the formation enthalpy at 0 K: 1309 meV/atom.

The structure belongs to space group I-42d (No. 122); the cell edges are 7.5494, 7.5494 and 5.7154 Å and the angles 90.00°, 90.00° and 90.00°. The inequivalent atoms are Tl at (0.2403, 0.2500, 0.1250), Cr at (0.0000, 0.0000, 0.0000) and Tc at (0.0000, 0.0000, 0.5000).

=====

(2)
AlReS2Cl | PBE-GGA | optimized geometry

As for the density of states at the Fermi level: 0.189 states/eV/atom. The uncorrected formation energy comes out at 0.145 eV per atom. The calculation puts the energy above the most stable polymorph in this dataset at 0.0 meV per atom.

The structure belongs to space group P4/mmm (No. 123); the cell edges are 4.5783, 4.5783 and 5.1823 Å and the angles 90.00°, 90.00° and 90.00°. The inequivalent atoms are Al at (0.0000, 0.0000, 0.0000), Re at (0.5000, 0.5000, 0.5000), S at (0.0000, 0.5000, 0.5000) and Cl at (0.5000, 0.5000, 0.0000).

=====

(3)
TaB3C | PBE-GGA | optimized geometry

As for the density of states at the Fermi level: 0.484 states/eV/atom. The calculation puts the energy above the most stable polymorph in this dataset at 0.0 meV per atom. As for the formation enthalpy at 0 K: 1393 meV/atom.

The structure belongs to space group Pm-3m (No. 221); the cell edges are 3.5208, 3.5208 and 3.5208 Å and the angles 90.00°, 90.00° and 90.00°. The inequivalent atoms are Ta at (0.0000, 0.0000, 0.0000), B at (0.0000, 0.5000, 0.5000) and C at (0.5000, 0.5000, 0.5000).

=====

(4)
YTa3Pd | PBE-GGA | optimized geometry

As for the density of states at the Fermi level: 1.885 states/eV/atom. The calculation puts the energy above the most stable polymorph in this dataset at 1339.4 meV per atom. As for the formation enthalpy at 0 K: 2419 meV/atom.

The structure belongs to space group Pm-3m (No. 221); the cell edges are 4.8798, 4.8798 and 4.8798 Å and the angles 90.00°, 90.00° and 90.00°. The inequivalent atoms are Y at (0.0000, 0.0000, 0.0000), Ta at (0.0000, 0.0000, 0.5000) and Pd at (0.5000, 0.5000, 0.5000).

=====

(5)
ZrReRh2 | PBE-GGA | optimized geometry

As for the density of states at the Fermi level: 0.849 states/eV/atom. The calculation puts the energy above the most stable polymorph in this dataset at 0.0 meV per atom. As for the formation enthalpy at 0 K: -341 meV/atom.

The structure belongs to space group P4/mmm (No. 123); the cell edges are 4.0286, 4.0286 and 3.9184 Å and the angles 90.00°, 90.00° and 90.00°. The inequivalent atoms are Zr at (0.0000, 0.0000, 0.0000), Re at (0.5000, 0.5000, 0.0000) and Rh at (0.0000, 0.5000, 0.5000).

=====

(6)
NaLiCl2 | PBE-GGA | optimized geometry

As for the density of states at the Fermi level: 0.000 states/eV/atom. The uncorrected formation energy comes out at -1.759 eV per atom.

The structure belongs to space group R3m (No. 160, hexagonal axes); the cell edges are 3.7608, 3.7608 and 19.7229 Å and the angles 90.00°, 90.00° and 120.00°. The inequivalent atoms are Na at (0.0000, 0.0000, 0.0000), Li at (0.0000, 0.0000, 0.8308), Cl at (0.0000, 0.0000, 0.2402) and Cl at (0.0000, 0.0000, 0.4244).

=====

(7)
MgInTe2I | PBE-GGA | optimized geometry

As for the density of states at the Fermi level: 1.181 states/eV/atom. The uncorrected formation energy comes out at -0.148 eV per atom. The calculation puts the energy above the most stable polymorph in this dataset at 0.0 meV per atom.

The structure belongs to space group P4/mmm (No. 123); the cell edges are 5.5208, 5.5208 and 5.9242 Å and the angles 90.00°, 90.00° and 90.00°. The inequivalent atoms are Mg at (0.0000, 0.0000, 0.0000), In at (0.5000, 0.5000, 0.5000), Te at (0.0000, 0.5000, 0.0000) and I at (0.0000, 0.0000, 0.5000).

=====

(8)
CdCu2Br | PBE-GGA | optimized geometry

As for the density of states at the Fermi level: 0.250 states/eV/atom. The uncorrected formation energy comes out at 0.364 eV per atom. The calculation puts the energy above the most stable polymorph in this dataset at 314.0 meV per atom.

The structure belongs to space group P4/mmm (No. 123); the cell edges are 4.7670, 4.7670 and 3.2060 Å and the angles 90.00°, 90.00° and 90.00°. The inequivalent atoms are Cd at (0.0000, 0.0000, 0.0000), Cu at (0.0000, 0.5000, 0.5000) and Br at (0.5000, 0.5000, 0.0000).

=====

(9)
KTeCl | PBE-GGA | optimized geometry

As for the density of states at the Fermi level: 0.281 states/eV/atom. The uncorrected formation energy comes out at -1.196 eV per atom. The calculation puts the energy above the most stable polymorph in this dataset at 0.0 meV per atom.

The structure belongs to space group P4/nmm (No. 129, origin choice 2); the cell edges are 4.3263, 4.3263 and 11.6693 Å and the angles 90.00°, 90.00° and 90.00°. The inequivalent atoms are K at (0.2500, 0.2500, 0.1352), Te at (0.2500, 0.7500, 0.5000) and Cl at (0.2500, 0.2500, 0.8606).

=====

(10)
Na3Sn2 | PBE-GGA | optimized geometry

As for the density of states at the Fermi level: 0.434 states/eV/atom. As for the formation enthalpy at 0 K: -109 meV/atom.

The structure belongs to space group Fdd2 (No. 43); the cell edges are 11.4270, 17.5186 and 5.6527 Å and the angles 90.00°, 90.00° and 90.00°. The inequivalent atoms are Na at (0.0000, 0.0000, 0.0002), Na at (0.0043, 0.1027, 0.5000) and Sn at (0.0018, 0.2092, 0.9952).

=====

(11)
Zr2MoBr | PBE-GGA | optimized geometry

As for the density of states at the Fermi level: 1.165 states/eV/atom. The uncorrected formation energy comes out at 0.769 eV per atom. The calculation puts the energy above the most stable polymorph in this dataset at 1106.9 meV per atom.

The structure belongs to space group I-42d (No. 122); the cell edges are 5.7691, 5.7691 and 13.5976 Å and the angles 90.00°, 90.00° and 90.00°. The inequivalent atoms are Zr at (0.1998, 0.2500, 0.1250), Mo at (0.0000, 0.0000, 0.0000) and Br at (0.0000, 0.0000, 0.5000).

=====

(12)
Mn2SiAs | PBE-GGA | optimized geometry

As for the density of states at the Fermi level: 0.650 states/eV/atom. The uncorrected formation energy comes out at -0.152 eV per atom.

The structure belongs to space group P4mm (No. 99); the cell edges are 3.2710, 3.2710 and 4.9683 Å and the angles 90.00°, 90.00° and 90.00°. The inequivalent atoms are Mn at (0.0000, 0.0000, 0.0000), Mn at (0.5000, 0.5000, 0.3109), Si at (0.0000, 0.0000, 0.4879) and As at (0.5000, 0.5000, 0.8124).

=====

(13)
PmUO5 | PBE-GGA | optimized geometry

As for the density of states at the Fermi level: 0.911 states/eV/atom. The uncorrected formation energy comes out at -2.864 eV per atom.

The structure belongs to space group Immm (No. 71); the cell edges are 4.1881, 6.7370 and 8.5165 Å and the angles 90.00°, 90.00° and 90.00°. The inequivalent atoms are Pm at (0.0000, 0.0000, 0.0000), U at (0.0000, 0.0000, 0.5000), O at (0.0000, 0.0000, 0.2686), O at (0.0000, 0.3066, 0.5000) and O at (0.0000, 0.5000, 0.0000).